# 1
A geometry-optimized CrMoSN2 structure. Source: Alexandria via LeMat-Bulk, functional PBE.

Lattice parameters (Å, degrees): 3.861 3.861 5.075 90.00 90.00 90.00
Site moments in Bohr magnetons follow the coordinates.
Fractional positions:
N (0.500, 0.000, 0.000)  -0.05
N (0.000, 0.500, 0.000)  -0.05
Mo (0.000, 0.000, 0.000)  0.13
Cr (0.500, 0.500, 0.500)  3.89
S (0.000, 0.000, 0.500)  -0.10

symmetry = P4/mmm
polymorph energy (0 for the lowest one) = 0 kJ/mol of formula units

***

# 2
A geometry-optimized CrMoSN2 structure. Source: Alexandria via LeMat-Bulk, functional PBE.

Lattice parameters (Å, degrees): 3.680 3.680 4.777 90.00 90.00 90.00
Site moments in Bohr magnetons follow the coordinates.
Fractional positions:
S (0.000, 0.000, 0.500)  -0.06
Mo (0.500, 0.500, 0.500)  2.68
Cr (0.000, 0.000, 0.000)  1.15
N (0.500, 0.000, 0.000)  -0.38
N (0.000, 0.500, 0.000)  -0.38

symmetry = P4/mmm
polymorph energy (0 for the lowest one) = 125 kJ/mol of formula units

***

# 3
A geometry-optimized CrMoSe2N structure. Source: Alexandria via LeMat-Bulk, functional PBE.

Lattice parameters (Å, degrees): 5.049 5.049 3.759 90.00 90.00 90.00
Site moments in Bohr magnetons follow the coordinates.
Fractional positions:
Mo (0.000, 0.000, 0.000)  -0.29
N (0.000, 0.000, 0.500)  0.04
Se (0.000, 0.500, 0.000)  0.03
Se (0.500, 0.000, 0.000)  0.03
Cr (0.500, 0.500, 0.500)  0.29

symmetry = P4/mmm
polymorph energy (0 for the lowest one) = 145 kJ/mol of formula units

***

# 4
A geometry-optimized CrMoSe2N structure. Source: Alexandria via LeMat-Bulk, functional PBE.

Lattice parameters (Å, degrees): 4.953 4.953 3.504 90.00 90.00 90.00
Site moments in Bohr magnetons follow the coordinates.
Fractional positions:
Se (0.000, 0.500, 0.000)  -0.15
Se (0.500, 0.000, 0.000)  -0.15
Mo (0.500, 0.500, 0.500)  2.72
N (0.000, 0.000, 0.500)  -0.29
Cr (0.000, 0.000, 0.000)  1.78

symmetry = P4/mmm
polymorph energy (0 for the lowest one) = 0 kJ/mol of formula units

***

# 5
A geometry-optimized Sm2CrMoN5 structure. Source: Alexandria via LeMat-Bulk, functional PBE.

Lattice parameters (Å, degrees): 3.265 7.137 9.926 90.00 90.00 103.23
Fractional positions:
N (0.042, 0.084, 0.032)
N (0.319, 0.638, 0.374)
N (0.501, 0.001, 0.791)
N (0.958, 0.916, 0.532)
N (0.297, 0.594, 0.656)
N (0.343, 0.686, 0.005)
N (0.499, 0.999, 0.291)
N (0.657, 0.314, 0.505)
N (0.703, 0.406, 0.156)
N (0.681, 0.362, 0.874)
Mo (0.206, 0.412, 0.017)
Mo (0.794, 0.588, 0.517)
Sm (0.866, 0.732, 0.813)
Sm (0.134, 0.268, 0.313)
Sm (0.880, 0.759, 0.188)
Sm (0.120, 0.241, 0.688)
Cr (0.447, 0.895, 0.449)
Cr (0.553, 0.105, 0.949)

DFT total energy = -8.8266 eV per atom
symmetry = Cmc2_1

***

# 6
A geometry-optimized Ta2CrMoN structure. Source: Alexandria via LeMat-Bulk, functional PBE.

Lattice parameters (Å, degrees): 4.406 4.406 3.624 90.00 90.00 90.00
Site moments in Bohr magnetons follow the coordinates.
Fractional positions:
Ta (0.500, 0.000, 0.000)  -0.01
Ta (0.000, 0.500, 0.000)  -0.01
Cr (0.000, 0.000, 0.500)  0.52
Mo (0.500, 0.500, 0.500)  0.12
N (0.000, 0.000, 0.000)  -0.01

DFT total energy = -10.8690 eV per atom
symmetry = P4/mmm

***

# 7
A geometry-optimized Tb2CrMoN5 structure. Source: Alexandria via LeMat-Bulk, functional PBE.

Lattice parameters (Å, degrees): 3.201 6.712 10.112 90.00 90.00 103.80
Fractional positions:
Tb (0.145, 0.290, 0.291)
Tb (0.109, 0.219, 0.703)
Tb (0.891, 0.781, 0.203)
Tb (0.855, 0.710, 0.791)
N (0.683, 0.366, 0.874)
N (0.957, 0.914, 0.544)
N (0.043, 0.086, 0.044)
N (0.317, 0.634, 0.374)
N (0.631, 0.261, 0.501)
N (0.510, 0.020, 0.290)
N (0.283, 0.567, 0.646)
N (0.717, 0.433, 0.146)
N (0.490, 0.980, 0.790)
N (0.369, 0.739, 0.001)
Cr (0.515, 0.030, 0.965)
Cr (0.485, 0.970, 0.465)
Mo (0.778, 0.557, 0.510)
Mo (0.222, 0.443, 0.010)

DFT total energy = -8.8620 eV per atom
symmetry = Cmc2_1

***

# 8
A geometry-optimized CrTe2MoN structure. Source: Alexandria via LeMat-Bulk, functional PBE.

Lattice parameters (Å, degrees): 5.307 5.307 3.520 90.00 90.00 90.00
Site moments in Bohr magnetons follow the coordinates.
Fractional positions:
Te (0.500, 0.000, 0.000)  -0.14
Te (0.000, 0.500, 0.000)  -0.14
Cr (0.000, 0.000, 0.000)  1.67
Mo (0.500, 0.500, 0.500)  2.66
N (0.000, 0.000, 0.500)  -0.21

symmetry = P4/mmm
polymorph energy (0 for the lowest one) = 0 kJ/mol of formula units

***

Please write out number 3 again, unchanged.
A geometry-optimized CrMoSe2N structure. Source: Alexandria via LeMat-Bulk, functional PBE.

Lattice parameters (Å, degrees): 5.049 5.049 3.759 90.00 90.00 90.00
Site moments in Bohr magnetons follow the coordinates.
Fractional positions:
Mo (0.000, 0.000, 0.000)  -0.29
N (0.000, 0.000, 0.500)  0.04
Se (0.000, 0.500, 0.000)  0.03
Se (0.500, 0.000, 0.000)  0.03
Cr (0.500, 0.500, 0.500)  0.29

symmetry = P4/mmm
polymorph energy (0 for the lowest one) = 145 kJ/mol of formula units

***

- What is the formula in the third record?
  CrMoSe2N